HgP2H6 PBE-GGA optimized geometry; DOS at the Fermi energy = 0.00 states/eV/cell; size of the total moment = 0.0 μB per cell; E = -3.4884 eV/atom
1.0
0.000 6.385 6.874
3.578 0.000 6.874
3.578 6.385 0.000
Hg P H
2 4 12
Direct
0.000 0.000 0.000
0.250 0.250 0.250
0.310 0.661 0.300
0.522 0.950 0.589
0.661 0.310 0.728
0.950 0.522 0.940
0.104 0.570 0.802
0.206 0.804 0.506
0.448 0.726 0.146
0.455 0.495 0.741
0.495 0.455 0.309
0.509 0.941 0.795
0.570 0.104 0.524
0.726 0.448 0.680
0.744 0.766 0.044
0.766 0.744 0.446
0.804 0.206 0.484
0.941 0.509 0.755